1.
The following is a PBE calculation of a relaxed CoSi2N crystal, from Alexandria via LeMat-Bulk.

Lattice parameters (Å, degrees): 5.110 5.110 5.094 59.90 59.90 90.00
Fractional positions:
N 0.500 0.500 0.000
N 0.250 0.750 0.500
Co 0.750 0.250 0.500
Co 0.000 0.000 0.000
Si 0.375 0.431 0.750
Si 0.181 0.625 0.250
Si 0.569 0.125 0.250
Si 0.875 0.819 0.750

Calculated values
E_form (uncorrected)   -0.212 eV per atom
N(E_F)   0.0 states/eV/f.u.
Total magnetic moment   0.00 μB/atom
DFT total energy   -6.781 eV/atom
Density   4.6 g/cm3


2.
The following is a PBE calculation of a relaxed CoSi2N3 crystal, from Alexandria via LeMat-Bulk.

Lattice parameters (Å, degrees): 5.339 5.339 4.819 90.00 90.00 119.33
Last column: magnetic moment on the atom in μB.
Fractional positions:
Si 0.327 0.989 0.006  0.00
Si 0.011 0.673 0.506  0.00
Si 0.989 0.327 0.006  0.00
Si 0.673 0.011 0.506  0.00
N 0.661 0.050 0.144  0.03
N 0.339 0.950 0.644  0.03
N 0.950 0.339 0.644  0.03
N 0.251 0.251 0.111  0.06
N 0.050 0.661 0.144  0.03
N 0.749 0.749 0.611  0.06
Co 0.398 0.398 0.501  1.90
Co 0.602 0.602 0.001  1.90

Calculated values
E_form (uncorrected)   -0.598 eV per atom
Total magnetic moment   0.33 μB/atom
DFT total energy   -7.753 eV/atom
Density   4.4 g/cm3


3.
The following is a PBE calculation of a relaxed SmCoSiN crystal, from Alexandria via LeMat-Bulk.

Lattice parameters (Å, degrees): 3.749 3.749 8.143 90.00 90.00 90.00
Fractional positions:
N 0.500 0.000 0.868
N 0.000 0.500 0.132
Sm 0.500 0.000 0.160
Sm 0.000 0.500 0.840
Co 0.500 0.500 0.500
Co 0.000 0.000 0.500
Si 0.000 0.500 0.350
Si 0.500 0.000 0.650

Calculated values
E_form (uncorrected)   -1.081 eV per atom
N(E_F)   2.3 states/eV/f.u.
Total magnetic moment   0.00 μB/atom
DFT total energy   -7.474 eV/atom
Density   7.3 g/cm3


4.
The following is a PBE calculation of a relaxed TbCoSiN crystal, from Alexandria via LeMat-Bulk.

Lattice parameters (Å, degrees): 3.698 3.698 8.085 90.00 90.00 90.00
Fractional positions:
Tb 0.500 0.000 0.158
Tb 0.000 0.500 0.842
N 0.000 0.500 0.128
N 0.500 0.000 0.872
Co 0.500 0.500 0.500
Co 0.000 0.000 0.500
Si 0.000 0.500 0.347
Si 0.500 0.000 0.653

Calculated values
E_form (uncorrected)   -1.112 eV per atom
N(E_F)   2.4 states/eV/f.u.
Total magnetic moment   0.00 μB/atom
DFT total energy   -7.483 eV/atom
Density   7.8 g/cm3


5.
The following is a PBE calculation of a relaxed CoSiTeN2 crystal, from Alexandria via LeMat-Bulk.

Lattice parameters (Å, degrees): 3.488 3.488 6.987 90.00 90.00 90.00
Last column: magnetic moment on the atom in μB.
Fractional positions:
N 0.000 0.500 0.000  0.05
N 0.500 0.000 0.000  0.05
Si 0.000 0.000 0.000  0.00
Te 0.000 0.000 0.500  0.08
Co 0.500 0.500 0.500  1.45

Calculated values
E_form (uncorrected)   0.762 eV per atom
N(E_F)   5.0 states/eV/f.u.
Total magnetic moment   0.36 μB/atom
Relative energy among the computed polymorphs   0.0000 eV/atom
DFT total energy   -5.702 eV/atom
Density   4.7 g/cm3


6.
The following is a PBE calculation of a relaxed CoSiTeN2 crystal, from Alexandria via LeMat-Bulk.

Lattice parameters (Å, degrees): 3.746 3.746 5.281 90.00 90.00 90.00
Last column: magnetic moment on the atom in μB.
Fractional positions:
Co 0.000 0.000 0.000  0.34
Si 0.500 0.500 0.500  -0.01
Te 0.000 0.000 0.500  0.01
N 0.000 0.500 0.000  0.30
N 0.500 0.000 0.000  0.30

Calculated values
E_form (uncorrected)   1.231 eV per atom
N(E_F)   4.2 states/eV/f.u.
Total magnetic moment   0.23 μB/atom
Relative energy among the computed polymorphs   0.4687 eV/atom
DFT total energy   -5.233 eV/atom
Density   5.4 g/cm3


> E_form (uncorrected) of number 4 (TbCoSiN)?

-1.112 eV per atom